No. 1
K2NpPd2S4: relaxed, GGA-PBE.

electronic total energy: -5.66 eV per atom
energy relative to the elements, uncorrected: -96 kJ per mole of atoms

```
K2NpPd2S4
1.0
3.9923 0.0000 0.0000
-1.9962 7.3082 -0.0169
0.0000 -2.5525 7.1284
K Np Pd S
2 1 2 4
Cartesian
1.9962 4.2538 3.0499
0.0000 0.5019 4.0616
0.0000 0.0000 0.0000
0.0000 2.0770 7.0890
1.9962 2.6787 0.0224
1.9962 2.4478 5.8123
0.0000 2.3078 1.2991
0.0000 6.5155 1.6168
1.9962 -1.7598 5.4946
```

---

No. 2
CdH2I3: relaxed, GGA-PBE.

electronic total energy: -2.07 eV per atom

```
CdH2I3
1.0
9.4005 3.9400 -2.5888
5.6203 8.5005 -2.5830
-3.5694 -3.0001 9.0097
Cd H I
2 4 6
Cartesian
6.3833 2.0828 4.1430
5.0682 7.3576 -0.3051
2.1629 3.5375 4.8905
5.6968 2.9169 0.3703
5.7547 6.5235 3.4676
9.2885 5.9030 -1.0526
6.9384 5.0904 -0.3139
4.5131 4.3500 4.1517
9.9386 7.6011 2.6339
0.3211 -0.3543 5.7360
11.1304 9.7947 -1.8981
1.5129 1.8393 1.2040
```